# 1
# CaHfPdRu2

Crystalline CaHfPdRu2 at its relaxed geometry (GGA-PBE, Alexandria).

extended XYZ file:
```
5
Lattice="-3.1835 -3.2737 1.1633 4.1370 -3.9324 0.2548 0.6547 0.9843 4.5615" Properties=species:S:1:pos:R:3 pbc="T T T"
Hf 0.0000 0.0000 0.0000
Ru 0.3273 0.4922 2.2808
Ru -1.5917 -1.6369 0.5817
Ca 2.0685 -1.9662 0.1274
Pd 0.8041 -3.1109 2.9898
```

The calculation puts the energy of formation from the pure elements at 1.24 eV/atom. The calculation puts the total energy at -0.43348 Ry per atom. The value obtained for the total moment is 1.7 μB/f.u. As for the symmetry: P4/mmm.

# 2
# CaHfTc2Pd

Crystalline CaHfTc2Pd at its relaxed geometry (GGA-PBE, Alexandria).

extended XYZ file:
```
5
Lattice="-3.2825 -3.4220 0.9731 3.7074 -3.2169 1.1931 -0.1886 1.4894 4.6019" Properties=species:S:1:pos:R:3 pbc="T T T"
Tc -1.6412 -1.7110 0.4865
Tc -0.0943 0.7447 2.3010
Ca 0.1182 -2.5748 3.3840
Hf 0.0000 0.0000 0.0000
Pd 1.8537 -1.6085 0.5965
```

The calculation puts the energy of formation from the pure elements at 0.85 eV/atom. The calculation puts the total energy at -0.49417 Ry per atom. The value obtained for the total moment is 3.3 μB/f.u. As for the symmetry: P4/mmm.

# 3
# Ca2HfTiPd

Crystalline Ca2HfTiPd at its relaxed geometry (GGA-PBE, Alexandria).

extended XYZ file:
```
5
Lattice="-4.3585 -1.6307 3.2842 -1.0352 -3.4763 -3.0999 3.4522 -3.5442 2.8217" Properties=species:S:1:pos:R:3 pbc="T T T"
Pd -0.5176 -1.7381 -1.5500
Ca -2.1792 -0.8153 1.6421
Ca 1.7261 -1.7721 1.4108
Ti -0.9707 -4.3256 1.5029
Hf 0.0000 0.0000 0.0000
```

The calculation puts the energy of formation from the pure elements at 1.15 eV/atom. The calculation puts the total energy at -0.31277 Ry per atom. The value obtained for the total moment is 0.0 μB/f.u. As for the symmetry: P4/mmm.